Computed, not measured: an optimized crystal structure of VCrRe2 at the GGA-PBE level of DFT.

a b c (Å): 2.7552 4.1546 10.7769
angles (deg): 90.00 90.00 90.00
Last column: nearest neighbours and their distance in Å.
Space group Immm (No. 71)
One atom of each set of equivalent atoms:
V: 0.0000 0.0000 0.0000 (multiplicity 2)  4 Cr 2.49, 2 V 2.76
Cr: 0.0000 0.0000 0.5000 (multiplicity 2)  2 Re 2.27, 4 V 2.49
Re: 0.0000 0.0000 0.2897 (multiplicity 4)  1 Cr 2.27

Computed properties:
V in Å³ per atom: 15.4
Formation energy in kJ per mole of atoms: 60.6

---

Computed, not measured: an optimized crystal structure of SeBr3N at the GGA-PBE level of DFT.

a b c (Å): 5.3191 5.3191 5.3191
angles (deg): 90.00 90.00 90.00
Last column: nearest neighbours and their distance in Å.
Space group Pm-3m (No. 221)
One atom of each set of equivalent atoms:
Se: 0.0000 0.0000 0.0000 (multiplicity 1)  6 Br 2.66
Br: 0.0000 0.0000 0.5000 (multiplicity 3)  2 Se 2.66
N: 0.5000 0.5000 0.5000 (multiplicity 1)  12 Br 3.76

Computed properties:
Relative energy among the computed polymorphs in meV per atom: 645.4
V in Å³ per atom: 30.1
ΔE_f (raw) in eV/atom: 1.04

---

Computed, not measured: an optimized crystal structure of KCuPdBr6 at the GGA-PBE level of DFT.

a b c (Å): 6.7800 11.7608 7.3115
angles (deg): 90.00 90.07 90.00
Last column: nearest neighbours and their distance in Å.
Space group C2 (No. 5)
One atom of each set of equivalent atoms:
K: 0.0000 0.0000 0.0000 (multiplicity 2)  6 Br 3.37
Cu: 0.0000 0.3337 0.5000 (multiplicity 2)  6 Br 2.61-2.62
Pd: 0.0000 0.6668 0.5000 (multiplicity 2)  6 Br 2.55
Br: 0.1237 0.5038 0.3002 (multiplicity 4)  1 Pd 2.55, 1 Cu 2.62
Br: 0.1831 0.8102 0.3005 (multiplicity 4)  1 Pd 2.55, 1 Cu 2.61
Br: 0.1936 0.1864 0.2999 (multiplicity 4)  1 Pd 2.55, 1 Cu 2.62

Computed properties:
V in Å³ per atom: 32.4
ΔE_f (raw) in eV/atom: -0.55

---

Computed, not measured: an optimized crystal structure of BaAs2Ir at the GGA-PBE level of DFT.

a b c (Å): 7.1467 7.1467 7.1467
angles (deg): 90.00 90.00 90.00
Last column: nearest neighbours and their distance in Å.
Space group F-43m (No. 216)
One atom of each set of equivalent atoms:
Ba: 0.0000 0.0000 0.0000 (multiplicity 4)  4 As 3.09, 4 Ir 3.09
As: 0.0000 0.0000 0.5000 (multiplicity 4)  4 Ir 3.09, 4 As 3.09
As: 0.2500 0.2500 0.2500 (multiplicity 4)  4 Ba 3.09, 4 As 3.09
Ir: 0.2500 0.2500 0.7500 (multiplicity 4)  4 Ba 3.09, 4 As 3.09

Computed properties:
V in Å³ per atom: 22.8
Formation energy in kJ per mole of atoms: 38.2

---

Computed, not measured: an optimized crystal structure of CeZn6Cu6 at the GGA-PBE level of DFT.

a b c (Å): 4.9289 8.7742 8.8865
angles (deg): 90.00 90.00 90.00
Last column: nearest neighbours and their distance in Å.
Space group Immm (No. 71)
One atom of each set of equivalent atoms:
Ce: 0.0000 0.0000 0.0000 (multiplicity 2)  8 Zn 3.06-3.12, 12 Cu 3.16-3.36
Zn: 0.0000 0.0000 0.3516 (multiplicity 4)  3 Zn 2.64-2.77, 6 Cu 2.67-2.74
Zn: 0.0000 0.3485 0.0000 (multiplicity 4)  3 Zn 2.66-2.90, 6 Cu 2.68-2.69
Zn: 0.0000 0.5000 0.2905 (multiplicity 4)  6 Cu 2.54-2.72, 2 Zn 2.77
Cu: 0.0000 0.2741 0.5000 (multiplicity 4)  4 Cu 2.55, 6 Zn 2.69-2.74
Cu: 0.2500 0.2500 0.2500 (multiplicity 8)  4 Cu 2.46-2.55, 6 Zn 2.54-2.68

Computed properties:
V in Å³ per atom: 14.8
Formation energy in kJ per mole of atoms: -13.1

---

Computed, not measured: an optimized crystal structure of PmMg3Ni at the GGA-PBE level of DFT.

a b c (Å): 8.2575 12.2634 4.3623
angles (deg): 90.00 90.00 90.00
Last column: nearest neighbours and their distance in Å.
Space group Cmmm (No. 65)
One atom of each set of equivalent atoms:
Pm: 0.0000 0.2019 0.0000 (multiplicity 4)  2 Ni 2.87
Mg: 0.0000 0.0000 0.5000 (multiplicity 2)  4 Ni 2.62
Mg: 0.0000 0.5000 0.0000 (multiplicity 2)  2 Ni 2.67
Mg: 0.1948 0.3757 0.5000 (multiplicity 8)  2 Ni 2.87, 4 Mg 2.95-3.11
Ni: 0.1765 0.0000 0.0000 (multiplicity 4)  7 Mg 2.62-2.87, 2 Pm 2.87, 1 Ni 2.91

Computed properties:
Relative energy among the computed polymorphs in meV per atom: 0.0
V in Å³ per atom: 22.1
Formation energy in kJ per mole of atoms: -17.1

---

Number 1: total moment 0.0 μB/f.u.. Number 2: total moment 3.0 μB/f.u.. Number 3: total moment 0.1 μB/f.u.. Number 4: total moment 0.0 μB/f.u.. Number 5: total moment 0.9 μB/f.u.. Number 6: total moment 0.0 μB/f.u..